Entry 1:
Density functional theory data (PBE) for crystalline LiPbBr2 at its relaxed geometry.

Cell: 3.814 3.814 8.629 Å, 90.00 90.00 119.31°
Sites, in units of the cell vectors:
Li  0.000  0.000  0.000
Pb  0.000  0.000  0.500
Br  0.500  0.500  0.205
Br  0.500  0.500  0.795

Results
* density of states at the Fermi level: 0.519 states/eV per cell
* uncorrected energy: -3.1387 eV/atom
* energy relative to the lowest polymorph listed for this composition: 0.050 eV per atom
* total magnetic moment: 0.00 μB/cell
* formation energy from raw total energies: -3.6 eV/f.u.


Entry 2:
Density functional theory data (PBE) for crystalline LiPb2Br at its relaxed geometry.

Cell: 3.807 4.922 6.142 Å, 90.00 90.00 90.00°
Sites, in units of the cell vectors:
Li  0.000  0.000  0.000
Pb  0.500  0.500  0.241
Pb  0.500  0.500  0.759
Br  0.000  0.000  0.500

Results
* density of states at the Fermi level: 1.475 states/eV per cell
* uncorrected energy: -2.9478 eV/atom
* energy relative to the lowest polymorph listed for this composition: 0.418 eV per atom
* total magnetic moment: 0.00 μB/cell
* formation energy from raw total energies: -0.8 eV/f.u.